Sc3Si23 after structural relaxation. Source: Alexandria via LeMat-Bulk, functional PBE.

SG: Pm-3n (223)
Raw total energy, eV per formula unit: -139.5
E_form (uncorrected), eV/atom: 0.162

Cell lengths 10.091, 10.091, 10.091 Å; angles 90.00, 90.00, 90.00 degrees
Atoms (fractional coordinates):
Sc: 0.500 0.250 0.000
Sc: 0.500 0.750 0.000
Sc: 0.750 0.000 0.500
Sc: 0.250 0.000 0.500
Sc: 0.000 0.500 0.750
Sc: 0.000 0.500 0.250
Si: 0.000 0.250 0.500
Si: 0.311 0.000 0.116
Si: 0.184 0.816 0.816
Si: 0.316 0.316 0.316
Si: 0.000 0.116 0.689
Si: 0.116 0.311 0.000
Si: 0.250 0.500 0.000
Si: 0.816 0.816 0.184
Si: 0.500 0.000 0.750
Si: 0.316 0.684 0.316
Si: 0.684 0.684 0.316
Si: 0.184 0.816 0.184
Si: 0.189 0.616 0.500
Si: 0.316 0.684 0.684
Si: 0.811 0.616 0.500
Si: 0.500 0.811 0.384
Si: 0.184 0.184 0.816
Si: 0.684 0.316 0.684
Si: 0.384 0.500 0.811
Si: 0.816 0.184 0.816
Si: 0.500 0.811 0.616
Si: 0.689 0.000 0.884
Si: 0.500 0.189 0.616
Si: 0.616 0.500 0.811
Si: 0.684 0.684 0.684
Si: 0.384 0.500 0.189
Si: 0.689 0.000 0.116
Si: 0.000 0.884 0.311
Si: 0.684 0.316 0.316
Si: 0.816 0.184 0.184
Si: 0.500 0.000 0.250
Si: 0.000 0.884 0.689
Si: 0.311 0.000 0.884
Si: 0.884 0.689 0.000
Si: 0.616 0.500 0.189
Si: 0.500 0.189 0.384
Si: 0.316 0.316 0.684
Si: 0.811 0.384 0.500
Si: 0.116 0.689 0.000
Si: 0.189 0.384 0.500
Si: 0.884 0.311 0.000
Si: 0.000 0.750 0.500
Si: 0.184 0.184 0.184
Si: 0.750 0.500 0.000
Si: 0.816 0.816 0.816
Si: 0.000 0.116 0.311